No. 1
Li4MnSnW2O12 | PBEsol | optimized geometry

abc: 5.051 5.339 7.393
angles: 94.46 90.08 90.02
Sites, in units of the cell vectors:
Li  0.000  0.000  0.000
Li  0.001  0.007  0.466
Li  0.491  0.512  0.470
Li  0.493  0.532  0.989
Mn  0.492  0.947  0.258
Sn  0.996  0.442  0.766
W  0.502  0.943  0.759
W  0.992  0.444  0.265
O  0.125  0.411  0.027
O  0.176  0.097  0.711
O  0.201  0.729  0.330
O  0.291  0.226  0.332
O  0.337  0.617  0.712
O  0.375  0.918  0.025
O  0.616  0.935  0.521
O  0.667  0.244  0.844
O  0.692  0.632  0.215
O  0.794  0.126  0.214
O  0.802  0.761  0.845
O  0.865  0.425  0.509

As for the energy relative to the elements, uncorrected: -2020.2 meV/atom.



No. 2
Li4Mn3TeO12 | PBEsol | optimized geometry

abc: 4.807 8.054 4.889
angles: 90.00 90.98 90.00
Sites, in units of the cell vectors:
Li  0.000  0.000  0.000
Li  0.000  0.362  0.500
Li  0.500  0.491  0.500
Li  0.500  0.897  0.000
Mn  0.000  0.799  0.500
Mn  0.500  0.091  0.500
Mn  0.500  0.274  0.000
Te  0.000  0.595  0.000
O  0.205  0.777  0.823
O  0.209  0.621  0.335
O  0.245  0.948  0.356
O  0.247  0.435  0.841
O  0.303  0.108  0.819
O  0.313  0.268  0.319
O  0.687  0.268  0.681
O  0.697  0.108  0.181
O  0.753  0.435  0.159
O  0.755  0.948  0.644
O  0.791  0.621  0.665
O  0.795  0.777  0.177

The density of states at the Fermi level comes out at 6.55 states/eV/f.u. As for the energy relative to the elements, uncorrected: -1617.8 meV/atom.



No. 3
Li2TiMn3O8 | PBEsol | optimized geometry

abc: 5.650 8.710 10.208
angles: 65.22 74.69 89.97
Sites, in units of the cell vectors:
Li  0.000  0.000  0.000
Li  0.000  0.500  0.500
Li  0.172  0.170  0.164
Li  0.360  0.333  0.334
Li  0.640  0.667  0.666
Li  0.828  0.830  0.836
Ti  0.166  0.164  0.668
Ti  0.500  0.500  0.000
Ti  0.834  0.836  0.332
Mn  0.000  0.000  0.500
Mn  0.000  0.500  0.000
Mn  0.164  0.668  0.162
Mn  0.327  0.832  0.333
Mn  0.340  0.337  0.829
Mn  0.500  0.000  0.500
Mn  0.660  0.663  0.171
Mn  0.673  0.168  0.667
Mn  0.836  0.332  0.838
O  0.008  0.745  0.477
O  0.028  0.254  0.976
O  0.147  0.924  0.187
O  0.152  0.385  0.689
O  0.178  0.947  0.645
O  0.179  0.419  0.144
O  0.317  0.080  0.357
O  0.320  0.548  0.848
O  0.338  0.587  0.309
O  0.357  0.127  0.813
O  0.486  0.719  0.020
O  0.498  0.209  0.520
O  0.502  0.791  0.480
O  0.514  0.281  0.980
O  0.643  0.873  0.187
O  0.662  0.413  0.691
O  0.680  0.452  0.152
O  0.683  0.920  0.643
O  0.821  0.581  0.856
O  0.822  0.053  0.355
O  0.848  0.615  0.311
O  0.853  0.076  0.813
O  0.972  0.746  0.024
O  0.992  0.255  0.523

As for the energy relative to the lowest polymorph listed for this composition: 100 meV per atom. The density of states at the Fermi level comes out at 0.68 states/eV/f.u. As for the energy relative to the elements, uncorrected: -1999.9 meV/atom.



No. 4
Li2TiMnO4 | PBEsol | optimized geometry

abc: 5.164 2.927 5.273
angles: 90.00 111.99 90.00
Sites, in units of the cell vectors:
Li  0.000  0.000  0.000
Li  0.000  0.500  0.500
Ti  0.500  0.000  0.500
Mn  0.500  0.500  0.000
O  0.258  0.500  0.271
O  0.280  0.000  0.738
O  0.720  0.000  0.262
O  0.742  0.500  0.729

As for the energy relative to the lowest polymorph listed for this composition: 28 meV per atom. The density of states at the Fermi level comes out at 2.88 states/eV/f.u. As for the energy relative to the elements, uncorrected: -2250.5 meV/atom.



No. 5
Li3Ti2Mn3O10 | PBEsol | optimized geometry

abc: 4.957 5.160 7.628
angles: 75.69 75.38 81.22
Sites, in units of the cell vectors:
Li  0.000  0.000  0.000
Li  0.492  0.736  0.098
Li  0.508  0.264  0.902
Ti  0.031  0.379  0.185
Ti  0.969  0.621  0.815
Mn  0.008  0.186  0.607
Mn  0.500  0.500  0.500
Mn  0.992  0.814  0.393
O  0.193  0.842  0.572
O  0.214  0.624  0.973
O  0.232  0.067  0.148
O  0.242  0.503  0.347
O  0.253  0.309  0.714
O  0.747  0.691  0.286
O  0.758  0.497  0.653
O  0.768  0.933  0.852
O  0.786  0.376  0.027
O  0.807  0.158  0.428

The density of states at the Fermi level comes out at 0.01 states/eV/f.u. As for the energy relative to the elements, uncorrected: -2201.4 meV/atom.



No. 6
Li5Ti2Mn5O12 | PBEsol | optimized geometry

abc: 5.113 5.113 9.754
angles: 94.14 94.14 119.43
Sites, in units of the cell vectors:
Li  0.000  0.000  0.000
Li  0.256  0.246  0.757
Li  0.414  0.069  0.243
Li  0.754  0.744  0.243
Li  0.931  0.586  0.757
Ti  0.334  0.666  0.000
Ti  0.842  0.158  0.500
Mn  0.082  0.397  0.245
Mn  0.169  0.831  0.500
Mn  0.515  0.485  0.500
Mn  0.603  0.918  0.755
Mn  0.665  0.335  0.000
O  0.057  0.687  0.124
O  0.123  0.122  0.371
O  0.194  0.508  0.614
O  0.313  0.943  0.876
O  0.374  0.382  0.121
O  0.492  0.806  0.386
O  0.559  0.192  0.626
O  0.618  0.626  0.879
O  0.684  0.017  0.114
O  0.808  0.441  0.374
O  0.878  0.877  0.629
O  0.983  0.316  0.886

The density of states at the Fermi level comes out at 7.82 states/eV/f.u. As for the energy relative to the elements, uncorrected: -2009.1 meV/atom.



No. 7
Li3TiMn2O6 | PBEsol | optimized geometry

abc: 6.943 6.943 5.783
angles: 101.39 101.39 23.98
Sites, in units of the cell vectors:
Li  0.000  0.000  0.000
Li  0.339  0.339  0.676
Li  0.661  0.661  0.324
Ti  0.000  0.000  0.500
Mn  0.333  0.333  0.161
Mn  0.667  0.667  0.839
O  0.152  0.152  0.593
O  0.166  0.166  0.070
O  0.495  0.495  0.730
O  0.505  0.505  0.270
O  0.834  0.834  0.930
O  0.848  0.848  0.407

The density of states at the Fermi level comes out at 5.02 states/eV/f.u. As for the energy relative to the elements, uncorrected: -2088.9 meV/atom.



Repeat the second record exactly.
Li4Mn3TeO12 | PBEsol | optimized geometry

abc: 4.807 8.054 4.889
angles: 90.00 90.98 90.00
Sites, in units of the cell vectors:
Li  0.000  0.000  0.000
Li  0.000  0.362  0.500
Li  0.500  0.491  0.500
Li  0.500  0.897  0.000
Mn  0.000  0.799  0.500
Mn  0.500  0.091  0.500
Mn  0.500  0.274  0.000
Te  0.000  0.595  0.000
O  0.205  0.777  0.823
O  0.209  0.621  0.335
O  0.245  0.948  0.356
O  0.247  0.435  0.841
O  0.303  0.108  0.819
O  0.313  0.268  0.319
O  0.687  0.268  0.681
O  0.697  0.108  0.181
O  0.753  0.435  0.159
O  0.755  0.948  0.644
O  0.791  0.621  0.665
O  0.795  0.777  0.177

The density of states at the Fermi level comes out at 6.55 states/eV/f.u. As for the energy relative to the elements, uncorrected: -1617.8 meV/atom.



Repeat the second record exactly.
Li4Mn3TeO12 | PBEsol | optimized geometry

abc: 4.807 8.054 4.889
angles: 90.00 90.98 90.00
Sites, in units of the cell vectors:
Li  0.000  0.000  0.000
Li  0.000  0.362  0.500
Li  0.500  0.491  0.500
Li  0.500  0.897  0.000
Mn  0.000  0.799  0.500
Mn  0.500  0.091  0.500
Mn  0.500  0.274  0.000
Te  0.000  0.595  0.000
O  0.205  0.777  0.823
O  0.209  0.621  0.335
O  0.245  0.948  0.356
O  0.247  0.435  0.841
O  0.303  0.108  0.819
O  0.313  0.268  0.319
O  0.687  0.268  0.681
O  0.697  0.108  0.181
O  0.753  0.435  0.159
O  0.755  0.948  0.644
O  0.791  0.621  0.665
O  0.795  0.777  0.177

The density of states at the Fermi level comes out at 6.55 states/eV/f.u. As for the energy relative to the elements, uncorrected: -1617.8 meV/atom.



Repeat the first record exactly.
Li4MnSnW2O12 | PBEsol | optimized geometry

abc: 5.051 5.339 7.393
angles: 94.46 90.08 90.02
Sites, in units of the cell vectors:
Li  0.000  0.000  0.000
Li  0.001  0.007  0.466
Li  0.491  0.512  0.470
Li  0.493  0.532  0.989
Mn  0.492  0.947  0.258
Sn  0.996  0.442  0.766
W  0.502  0.943  0.759
W  0.992  0.444  0.265
O  0.125  0.411  0.027
O  0.176  0.097  0.711
O  0.201  0.729  0.330
O  0.291  0.226  0.332
O  0.337  0.617  0.712
O  0.375  0.918  0.025
O  0.616  0.935  0.521
O  0.667  0.244  0.844
O  0.692  0.632  0.215
O  0.794  0.126  0.214
O  0.802  0.761  0.845
O  0.865  0.425  0.509

As for the energy relative to the elements, uncorrected: -2020.2 meV/atom.



- The lowest energy relative to the elements, uncorrected belongs to which entry?
  Li2TiMnO4